# 1
10
Lattice="3.7997 -0.0020 -0.0038 -0.0019 5.8279 -1.2218 -1.9065 -2.9769 8.5331" Properties=species:S:1:pos:R:3 comment="GGA-PBE Li2Mg2Pt, optimized geometry" e_above_lowest_polymorph_mev_per_atom=0.0 magmom_total_mub_per_cell=0.000 delta_e_f_ev_per_atom=-0.406 pbc="T T T"
Pt -0.0014 4.3709 -0.9163
Li -0.0026 2.0327 2.6856
Li 1.8930 3.7303 4.0110
Li -0.0017 -0.8813 3.2965
Pt -0.0005 1.4570 -0.3054
Mg 1.8975 3.1902 0.7693
Li 1.8939 0.8164 4.6219
Mg 1.8985 0.2763 1.3801
Mg -0.0072 2.5728 5.9274
Mg -0.0062 -0.3412 6.5383

---

# 2
12
Lattice="-0.9520 3.3491 3.1339 -7.0749 -1.5728 3.0328 1.6463 -2.1654 6.3152" Properties=species:S:1:pos:R:3 comment="GGA-PBE LiMg7Pt4, optimized geometry" magmom_total_mub_per_cell=0.000 delta_e_f_ev_per_atom=-0.570 pbc="T T T"
Pt -2.6229 0.3920 2.2853
Mg -4.2617 -1.2500 3.5424
Mg -2.8815 1.0986 4.9528
Mg -5.9547 0.0183 8.6747
Pt -0.9957 0.1565 6.5323
Mg -0.4259 -0.4075 3.8071
Mg -0.4760 1.6745 1.5669
Mg -2.1189 0.8609 8.9395
Pt -5.3848 -0.5456 5.9495
Pt -3.7576 -0.7812 10.1965
Li 0.0000 0.0000 0.0000
Mg -3.4990 -1.4877 7.5291

---

# 3
4
Lattice="-0.0497 2.1948 1.8871 -3.7293 0.7983 -1.0267 -1.8095 -3.4114 3.9199" Properties=species:S:1:pos:R:3 comment="GGA-PBE Li2MgPt, optimized geometry" magmom_total_mub_per_cell=0.000 delta_e_f_ev_per_atom=-0.398 pbc="T T T"
Mg -2.3419 0.6437 1.4102
Li -0.9742 -1.8367 2.1104
Pt -3.2466 -1.0620 3.3702
Li -1.7400 -3.2805 3.7694

---

# 4
4
Lattice="8.7020 0.0217 0.0128 8.2232 2.8470 0.0128 8.2232 1.3937 2.4825" Properties=species:S:1:pos:R:3 comment="GGA-PBE LiMgPt2, optimized geometry" magmom_total_mub_per_cell=0.000 delta_e_f_ev_per_atom=-0.583 pbc="T T T"
Mg 18.8613 3.1968 1.8810
Li 6.2871 1.0656 0.6270
Pt 12.5780 2.1318 1.2544
Pt 25.1446 4.2617 2.5076

---

# 5
4
Lattice="3.9224 0.0000 0.0000 0.0000 2.8958 -0.0006 0.0000 2.6076 5.6733" Properties=species:S:1:pos:R:3 comment="GGA-PBE Li2MgPt, optimized geometry" magmom_total_mub_per_cell=0.000 delta_e_f_ev_per_atom=-0.452 pbc="T T T"
Pt 1.9612 4.1635 4.2662
Li 1.9612 1.3347 1.3061
Mg 0.0000 2.7353 3.0220
Li 0.0000 2.6291 5.5880

---

# 6
4
Lattice="4.8667 0.0292 0.0000 1.7066 4.5577 0.0000 -3.2866 -2.2935 2.7611" Properties=species:S:1:pos:R:3 comment="GGA-PBE LiMgPt2, optimized geometry" magmom_total_mub_per_cell=0.000 delta_e_f_ev_per_atom=-0.603 pbc="T T T"
Li 3.2866 2.2935 0.0000
Pt 0.8533 2.2789 1.3805
Mg 2.4333 0.0146 1.3805
Pt 0.0000 0.0000 0.0000